Record 1
The following is a PBE calculation of crystalline TcHSe2 at its relaxed geometry, from Alexandria.

Structure (CIF):
```
data_TcHSe2
_chemical_formula_sum 'Tc4 H4 Se8'
_cell_length_a 3.235
_cell_length_b 21.625
_cell_length_c 4.507
_cell_angle_alpha 90.00
_cell_angle_beta 90.00
_cell_angle_gamma 90.00
_space_group_name_H-M_alt 'C m c m'
_space_group_IT_number 63
_space_group_name_Hall '-C 2c 2'
loop_
_atom_site_label
_atom_site_type_symbol
_atom_site_fract_x
_atom_site_fract_y
_atom_site_fract_z
_atom_site_occupancy
Tc1 Tc 0.000 0.025 0.250 1
H1 H 0.000 0.314 0.250 1
Se1 Se 0.000 0.086 0.750 1
Se2 Se 0.000 0.244 0.250 1
```

Properties
- polymorph energy (0 for the lowest one) (eV per atom) = 0.527
- electronic total energy (eV per atom) = -4.825



Record 2
The following is a PBE calculation of crystalline CoIrPd3 at its relaxed geometry, from Alexandria.

Structure (CIF):
```
data_CoIrPd3
_chemical_formula_sum 'Co1 Ir1 Pd3'
_cell_length_a 4.452
_cell_length_b 4.452
_cell_length_c 4.452
_cell_angle_alpha 90.00
_cell_angle_beta 90.00
_cell_angle_gamma 90.00
_space_group_name_H-M_alt 'P m -3 m'
_space_group_IT_number 221
_space_group_name_Hall '-P 4 2 3'
loop_
_atom_site_label
_atom_site_type_symbol
_atom_site_fract_x
_atom_site_fract_y
_atom_site_fract_z
_atom_site_occupancy
Co1 Co 0.000 0.000 0.000 1
Ir1 Ir 0.500 0.500 0.500 1
Pd1 Pd 0.000 0.000 0.500 1
```

Properties
- polymorph energy (0 for the lowest one) (eV per atom) = 0.000
- formation energy from the elements (meV/atom) = 1251
- electronic total energy (eV per atom) = -5.058



Record 3
The following is a PBE calculation of crystalline Ce4SiTe3 at its relaxed geometry, from Alexandria.

Structure (CIF):
```
data_Ce4SiTe3
_chemical_formula_sum 'Ce8 Si2 Te6'
_cell_length_a 8.931
_cell_length_b 12.530
_cell_length_c 4.390
_cell_angle_alpha 90.00
_cell_angle_beta 90.00
_cell_angle_gamma 90.00
_space_group_name_H-M_alt 'C m m m'
_space_group_IT_number 65
_space_group_name_Hall '-C 2 2'
loop_
_atom_site_label
_atom_site_type_symbol
_atom_site_fract_x
_atom_site_fract_y
_atom_site_fract_z
_atom_site_occupancy
Ce1 Ce 0.000 0.238 0.000 1
Ce2 Ce 0.229 0.000 0.500 1
Si1 Si 0.000 0.000 0.000 1
Te1 Te 0.000 0.500 0.000 1
Te2 Te 0.250 0.250 0.500 1
```

Properties
- electronic total energy (eV per atom) = -6.013
- raw formation energy (eV/atom) = -1.1900



Record 4
The following is a PBE calculation of crystalline La4Y5Sc2 at its relaxed geometry, from Alexandria.

Structure (CIF):
```
data_La4Y5Sc2
_chemical_formula_sum 'La8 Y10 Sc4'
_cell_length_a 18.674
_cell_length_b 5.474
_cell_length_c 7.090
_cell_angle_alpha 90.00
_cell_angle_beta 95.93
_cell_angle_gamma 90.00
_space_group_name_H-M_alt 'C 1 2/m 1'
_space_group_IT_number 12
_space_group_name_Hall '-C 2y'
loop_
_atom_site_label
_atom_site_type_symbol
_atom_site_fract_x
_atom_site_fract_y
_atom_site_fract_z
_atom_site_occupancy
La1 La 0.059 0.000 0.199 1
La2 La 0.181 0.500 0.378 1
Y1 Y 0.000 0.500 0.500 1
Y2 Y 0.129 0.000 0.698 1
Y3 Y 0.250 0.000 0.132 1
Sc1 Sc 0.076 0.500 0.935 1
```

Properties
- formation energy from the elements (meV/atom) = 72
- electronic total energy (eV per atom) = -5.810



Record 5
The following is a PBE calculation of crystalline BaBe2Rh at its relaxed geometry, from Alexandria.

Structure (CIF):
```
data_BaBe2Rh
_chemical_formula_sum 'Ba4 Be8 Rh4'
_cell_length_a 6.788
_cell_length_b 6.788
_cell_length_c 6.788
_cell_angle_alpha 90.00
_cell_angle_beta 90.00
_cell_angle_gamma 90.00
_space_group_name_H-M_alt 'F -4 3 m'
_space_group_IT_number 216
_space_group_name_Hall 'F -4 2 3'
loop_
_atom_site_label
_atom_site_type_symbol
_atom_site_fract_x
_atom_site_fract_y
_atom_site_fract_z
_atom_site_occupancy
Ba1 Ba 0.000 0.000 0.000 1
Be1 Be 0.000 0.000 0.500 1
Be2 Be 0.250 0.250 0.750 1
Rh1 Rh 0.250 0.250 0.250 1
```

Properties
- polymorph energy (0 for the lowest one) (eV per atom) = 1.030
- formation energy from the elements (meV/atom) = 839
- electronic total energy (eV per atom) = -3.342



Record 6
The following is a PBE calculation of crystalline Li3HCl at its relaxed geometry, from Alexandria.

Structure (CIF):
```
data_Li3HCl
_chemical_formula_sum 'Li3 H1 Cl1'
_cell_length_a 4.165
_cell_length_b 4.165
_cell_length_c 4.165
_cell_angle_alpha 90.00
_cell_angle_beta 90.00
_cell_angle_gamma 90.00
_space_group_name_H-M_alt 'P m -3 m'
_space_group_IT_number 221
_space_group_name_Hall '-P 4 2 3'
loop_
_atom_site_label
_atom_site_type_symbol
_atom_site_fract_x
_atom_site_fract_y
_atom_site_fract_z
_atom_site_occupancy
Li1 Li 0.000 0.000 0.500 1
H1 H 0.000 0.000 0.000 1
Cl1 Cl 0.500 0.500 0.500 1
```

Properties
- polymorph energy (0 for the lowest one) (eV per atom) = 0.000
- electronic total energy (eV per atom) = -2.771



Record 7
The following is a PBE calculation of crystalline TaTc2Ru at its relaxed geometry, from Alexandria.

Structure (CIF):
```
data_TaTc2Ru
_chemical_formula_sum 'Ta3 Tc6 Ru3'
_cell_length_a 2.7849
_cell_length_b 2.7849
_cell_length_c 27.6117
_cell_angle_alpha 90.00
_cell_angle_beta 90.00
_cell_angle_gamma 120.00
_space_group_name_H-M_alt 'R -3 m'
_space_group_IT_number 166
_space_group_name_Hall '-R 3 2"'
loop_
_atom_site_label
_atom_site_type_symbol
_atom_site_fract_x
_atom_site_fract_y
_atom_site_fract_z
_atom_site_occupancy
Ta1 Ta 0.0000 0.0000 0.0000 1
Tc1 Tc 0.0000 0.0000 0.2444 1
Ru1 Ru 0.0000 0.0000 0.5000 1
```

Properties
- polymorph energy (0 for the lowest one) (eV per atom) = 0.204
- formation energy from the elements (meV/atom) = 150
- electronic total energy (eV per atom) = -10.316



Record 8
The following is a PBE calculation of crystalline Sb2PbCl at its relaxed geometry, from Alexandria.

Structure (CIF):
```
data_Sb2PbCl
_chemical_formula_sum 'Sb4 Pb2 Cl2'
_cell_length_a 14.408
_cell_length_b 3.795
_cell_length_c 4.593
_cell_angle_alpha 90.00
_cell_angle_beta 108.42
_cell_angle_gamma 90.00
_space_group_name_H-M_alt 'C 1 2/m 1'
_space_group_IT_number 12
_space_group_name_Hall '-C 2y'
loop_
_atom_site_label
_atom_site_type_symbol
_atom_site_fract_x
_atom_site_fract_y
_atom_site_fract_z
_atom_site_occupancy
Sb1 Sb 0.214 0.000 0.213 1
Pb1 Pb 0.000 0.500 0.000 1
Cl1 Cl 0.000 0.000 0.500 1
```

Properties
- polymorph energy (0 for the lowest one) (eV per atom) = 0.029
- electronic total energy (eV per atom) = -3.665
- raw formation energy (eV/atom) = -0.2146



Record 9
The following is a PBE calculation of crystalline Ce3ThSb2 at its relaxed geometry, from Alexandria.

Structure (CIF):
```
data_Ce3ThSb2
_chemical_formula_sum 'Ce12 Th4 Sb8'
_cell_length_a 18.675
_cell_length_b 4.182
_cell_length_c 9.431
_cell_angle_alpha 90.00
_cell_angle_beta 111.52
_cell_angle_gamma 90.00
_space_group_name_H-M_alt 'C 1 2/m 1'
_space_group_IT_number 12
_space_group_name_Hall '-C 2y'
loop_
_atom_site_label
_atom_site_type_symbol
_atom_site_fract_x
_atom_site_fract_y
_atom_site_fract_z
_atom_site_occupancy
Ce1 Ce 0.070 0.000 0.116 1
Ce2 Ce 0.132 0.500 0.987 1
Ce3 Ce 0.205 0.500 0.424 1
Th1 Th 0.103 0.000 0.625 1
Sb1 Sb 0.023 0.500 0.331 1
Sb2 Sb 0.242 0.500 0.787 1
```

Properties
- polymorph energy (0 for the lowest one) (eV per atom) = 0.050
- electronic total energy (eV per atom) = -6.158
- raw formation energy (eV/atom) = -0.5808



Record 10
The following is a PBE calculation of crystalline DyTmC at its relaxed geometry, from Alexandria.

Structure (CIF):
```
data_DyTmC
_chemical_formula_sum 'Dy4 Tm4 C4'
_cell_length_a 12.310
_cell_length_b 3.568
_cell_length_c 6.175
_cell_angle_alpha 90.00
_cell_angle_beta 99.62
_cell_angle_gamma 90.00
_space_group_name_H-M_alt 'C 1 2/m 1'
_space_group_IT_number 12
_space_group_name_Hall '-C 2y'
loop_
_atom_site_label
_atom_site_type_symbol
_atom_site_fract_x
_atom_site_fract_y
_atom_site_fract_z
_atom_site_occupancy
Dy1 Dy 0.112 0.000 0.370 1
Tm1 Tm 0.108 0.500 0.870 1
C1 C 0.000 0.000 0.000 1
C2 C 0.000 0.500 0.500 1
```

Properties
- polymorph energy (0 for the lowest one) (eV per atom) = 0.000
- formation energy from the elements (meV/atom) = -311
- electronic total energy (eV per atom) = -6.410



Question: Which of these has the highest electronic total energy?
Answer: Li3HCl